[1]
Compound: Dy4GeAs2P
Source: Alexandria
Functional: GGA-PBE
Structure: optimized geometry

POSCAR file:
```
Dy4GeAs2P
1.0
7.078 0.000 0.000
0.000 4.063 0.000
-2.339 0.000 6.756
Dy Ge As P
4 1 2 1
Direct
0.245 0.000 0.244
0.250 0.500 0.756
0.750 0.500 0.244
0.755 0.000 0.756
0.000 0.000 0.500
0.500 0.000 0.000
0.500 0.500 0.500
0.000 0.500 0.000
```

Computed properties:
total energy = -6.035 eV per atom
crystal system = monoclinic
DFT formation energy = -10.548 eV per formula unit

=====

[2]
Compound: Mo2As2Rh
Source: Alexandria
Functional: GGA-PBE
Structure: optimized geometry

POSCAR file:
```
Mo2As2Rh
1.0
7.041 0.000 0.000
0.000 7.041 0.000
0.000 0.000 3.155
Mo As Rh
4 4 2
Direct
0.142 0.358 0.000
0.358 0.858 0.000
0.642 0.142 0.000
0.858 0.642 0.000
0.155 0.655 0.500
0.345 0.155 0.500
0.655 0.845 0.500
0.845 0.345 0.500
0.000 0.000 0.500
0.500 0.500 0.500
```

Computed properties:
total energy = -7.633 eV per atom
crystal system = tetragonal
DFT formation energy = 0.150 eV per formula unit

=====

[3]
Compound: K3TlPt2
Source: Alexandria
Functional: GGA-PBE
Structure: optimized geometry

POSCAR file:
```
K3TlPt2
1.0
10.186 -2.261 0.000
10.186 2.261 0.000
-4.807 0.000 10.160
K Tl Pt
6 2 4
Direct
0.096 0.096 0.386
0.121 0.121 0.039
0.366 0.366 0.262
0.634 0.634 0.738
0.879 0.879 0.961
0.904 0.904 0.614
0.261 0.261 0.709
0.739 0.739 0.291
0.254 0.254 0.947
0.262 0.262 0.447
0.738 0.738 0.553
0.746 0.746 0.053
```

Computed properties:
total energy = -3.096 eV per atom
crystal system = monoclinic
DFT formation energy = -0.835 eV per formula unit

=====

[4]
Compound: Cs3La3ScSe8
Source: Alexandria
Functional: GGA-PBE
Structure: optimized geometry

POSCAR file:
```
Cs3La3ScSe8
1.0
4.369 2.523 8.498
-4.369 2.523 8.498
0.000 -5.045 8.498
Cs La Sc Se
3 3 1 8
Direct
0.000 0.500 0.500
0.500 0.000 0.500
0.500 0.500 0.000
0.000 0.000 0.500
0.000 0.500 0.000
0.500 0.000 0.000
0.500 0.500 0.500
0.231 0.231 0.231
0.251 0.714 0.714
0.286 0.286 0.749
0.286 0.749 0.286
0.714 0.251 0.714
0.714 0.714 0.251
0.749 0.286 0.286
0.769 0.769 0.769
```

Computed properties:
total energy = -5.105 eV per atom
crystal system = trigonal

=====

[5]
Compound: CsRbNa2Sb
Source: Alexandria
Functional: GGA-PBE
Structure: optimized geometry

POSCAR file:
```
CsRbNa2Sb
1.0
6.184 0.000 0.000
0.000 6.184 0.000
0.000 0.000 7.500
Cs Rb Na Sb
1 1 2 1
Direct
0.000 0.000 0.000
0.500 0.500 0.000
0.000 0.500 0.500
0.500 0.000 0.500
0.000 0.000 0.500
```

Computed properties:
energy relative to the lowest polymorph listed for this composition = 35 meV/atom
total energy = -1.870 eV per atom
crystal system = tetragonal

=====

[6]
Compound: Li2Tl2Sb
Source: Alexandria
Functional: GGA-PBE
Structure: optimized geometry

POSCAR file:
```
Li2Tl2Sb
1.0
8.406 0.000 0.000
0.000 8.406 0.000
0.000 0.000 3.318
Li Tl Sb
4 4 2
Direct
0.170 0.330 0.000
0.330 0.830 0.000
0.670 0.170 0.000
0.830 0.670 0.000
0.132 0.632 0.500
0.368 0.132 0.500
0.632 0.868 0.500
0.868 0.368 0.500
0.000 0.000 0.500
0.500 0.500 0.500
```

Computed properties:
energy relative to the lowest polymorph listed for this composition = 90 meV/atom
total energy = -2.663 eV per atom
crystal system = tetragonal

=====

[7]
Compound: BaHfMoN4
Source: Alexandria
Functional: GGA-PBE
Structure: optimized geometry

POSCAR file:
```
BaHfMoN4
1.0
5.771 0.000 0.000
0.000 5.893 0.000
-2.334 0.000 7.040
Ba Hf Mo N
2 2 2 8
Direct
0.229 0.250 0.440
0.771 0.750 0.560
0.324 0.250 0.963
0.676 0.750 0.037
0.220 0.750 0.150
0.780 0.250 0.850
0.008 0.250 0.078
0.017 0.750 0.304
0.456 0.512 0.173
0.456 0.988 0.173
0.544 0.012 0.827
0.544 0.488 0.827
0.983 0.250 0.696
0.992 0.750 0.922
```

Computed properties:
total energy = -8.891 eV per atom
crystal system = monoclinic

=====

[8]
Compound: NdSm3Dy7
Source: Alexandria
Functional: GGA-PBE
Structure: optimized geometry

POSCAR file:
```
NdSm3Dy7
1.0
6.978 0.000 0.000
0.000 5.557 0.000
-3.441 0.000 9.402
Nd Sm Dy
1 3 7
Direct
0.000 0.000 0.000
0.282 0.500 0.499
0.500 0.000 0.000
0.718 0.500 0.501
0.000 0.000 0.500
0.146 0.500 0.789
0.321 0.500 0.140
0.418 0.000 0.330
0.582 0.000 0.670
0.679 0.500 0.860
0.854 0.500 0.211
```

Computed properties:
energy relative to the lowest polymorph listed for this composition = 0 meV/atom
total energy = -4.506 eV per atom
crystal system = monoclinic
DFT formation energy = 1.569 eV per formula unit

=====

[9]
Compound: LaZrSc2P
Source: Alexandria
Functional: GGA-PBE
Structure: optimized geometry

POSCAR file:
```
LaZrSc2P
1.0
5.115 0.000 0.000
0.000 5.115 0.000
0.000 0.000 5.109
La Zr Sc P
1 1 2 1
Direct
0.000 0.000 0.000
0.000 0.000 0.500
0.000 0.500 0.000
0.500 0.000 0.000
0.500 0.500 0.500
```

Computed properties:
total energy = -5.087 eV per atom
crystal system = tetragonal
DFT formation energy = 6.113 eV per formula unit

=====

[10]
Compound: CaLaIn2Ru
Source: Alexandria
Functional: GGA-PBE
Structure: optimized geometry

POSCAR file:
```
CaLaIn2Ru
1.0
5.367 0.000 0.000
0.000 5.367 0.000
0.000 0.000 5.134
Ca La In Ru
1 1 2 1
Direct
0.000 0.000 0.000
0.500 0.500 0.000
0.000 0.500 0.500
0.500 0.000 0.500
0.500 0.500 0.500
```

Computed properties:
total energy = -4.590 eV per atom
crystal system = tetragonal
DFT formation energy = -1.269 eV per formula unit

=====

[11]
Compound: YRe2Sb
Source: Alexandria
Functional: GGA-PBE
Structure: optimized geometry

POSCAR file:
```
YRe2Sb
1.0
3.305 0.000 0.000
0.000 4.638 0.000
0.000 0.000 9.923
Y Re Sb
2 4 2
Direct
0.000 0.000 0.000
0.500 0.500 0.500
0.000 0.000 0.492
0.000 0.500 0.771
0.500 0.000 0.271
0.500 0.500 0.992
0.000 0.500 0.224
0.500 0.000 0.724
```

Computed properties:
total energy = -8.565 eV per atom
crystal system = orthorhombic

=====

[12]
Compound: CeMg2Ag
Source: Alexandria
Functional: GGA-PBE
Structure: optimized geometry

POSCAR file:
```
CeMg2Ag
1.0
4.428 0.000 0.000
0.000 4.428 0.000
0.000 0.000 5.059
Ce Mg Ag
1 2 1
Direct
0.000 0.000 0.000
0.000 0.500 0.500
0.500 0.000 0.500
0.500 0.500 0.000
```

Computed properties:
total energy = -2.964 eV per atom
crystal system = tetragonal
DFT formation energy = 0.119 eV per formula unit